Entry 1:
Compound: SrNdAg2
Source: Alexandria
Functional: GGA-PBE
Structure: relaxed

As for the crystal system: cubic. The value obtained for the calculated density is 6.67 g/cm³.

The structure belongs to space group Fm-3m (No. 225); the cell edges are 7.640, 7.640 and 7.640 Å and the angles 90.00°, 90.00° and 90.00°. The inequivalent atoms are Sr at (0.000, 0.000, 0.000), Nd at (0.000, 0.000, 0.500) and Ag at (0.250, 0.250, 0.250).

***

Entry 2:
Compound: Tb3InSe6
Source: Alexandria
Functional: GGA-PBE
Structure: relaxed

As for the crystal system: orthorhombic. The value obtained for the calculated density is 6.44 g/cm³.

The structure belongs to space group Cmc2_1 (No. 36); the cell edges are 11.278, 14.077 and 6.922 Å and the angles 90.00°, 90.00° and 90.00°. The inequivalent atoms are Tb at (0.000, 0.094, 0.000), Tb at (0.185, 0.403, 0.902), In at (0.000, 0.297, 0.376), Se at (0.000, 0.279, 0.748), Se at (0.000, 0.467, 0.208), Se at (0.163, 0.034, 0.703) and Se at (0.174, 0.228, 0.170).

***

Number 1: E_tot -3.27 eV per atom. Number 2: E_tot -5.28 eV per atom.